# Pr2PuPN5

Pr2PuPN5 after structural relaxation (GGA-PBE, the Alexandria database).

Computed properties:
Its uncorrected formation energy is -1.015 eV/atom. For the volume, the calculation gives 493 Å³ per cell. The electronic total energy comes out at -8.895 eV/atom. The calculation puts the density of states at the Fermi level at 43.87 states/eV per cell. Its total magnetization is 15.99 μB/cell.

Cell: 6.8043 6.8043 10.6530 Å, 90.00 90.00 90.00°
Last column: nearest neighbours and their distance in Å.
Space group I4/mcm (No. 140)
One atom of each set of equivalent atoms:
Pr: 0.1774 0.3226 0.0000  8 N 2.45-2.72
Pu: 0.0000 0.0000 0.2500  10 N 2.66-2.82
P: 0.0000 0.5000 0.2500  4 N 1.65
N: 0.0000 0.0000 0.0000  4 Pr 2.51, 2 Pu 2.66
N: 0.1361 0.3639 0.3435  1 P 1.65

# PrPu3P4N12

PrPu3P4N12 after structural relaxation (GGA-PBE, the Alexandria database).

Computed properties:
Its uncorrected formation energy is -0.641 eV/atom. For the volume, the calculation gives 882 Å³ per cell. The electronic total energy comes out at -9.107 eV/atom. The calculation puts the density of states at the Fermi level at 57.60 states/eV per cell. Its total magnetization is 33.00 μB/cell.

Cell: 10.8078 10.8078 8.7201 Å, 90.00 90.00 120.00°
Last column: nearest neighbours and their distance in Å.
Space group R32 (No. 155, hexagonal axes)
One atom of each set of equivalent atoms:
Pr: 0.0000 0.0000 0.0000  6 N 2.61
Pu: 0.0000 0.5476 0.0000  6 N 2.28-2.29
P: 0.0000 0.0000 0.5000  3 N 1.58
P: 0.0000 0.4515 0.5000  3 N 1.58-1.60
N: 0.0000 0.5993 0.5000  1 P 1.60
N: 0.0000 0.8540 0.5000  1 P 1.58
N: 0.0224 0.2053 0.1765  1 P 1.58